Computed, not measured: a geometry-optimized ZrZn2Ga structure at the PBE level of DFT.

magnetic moment: 0.000 μB per atom
ΔE_f: -0.042 eV/atom
density of states at the Fermi level: 0.942 states/eV per atom

Structure (POSCAR):
```
ZrZn2Ga
1.0
7.316 0.000 0.000
0.000 7.316 0.000
0.000 0.000 5.558
Zr Zn Ga
4 8 4
direct
0.000 0.000 0.000
0.000 0.500 0.250
0.500 0.000 0.750
0.500 0.500 0.500
0.219 0.750 0.625
0.250 0.219 0.375
0.250 0.281 0.875
0.281 0.750 0.125
0.719 0.250 0.125
0.750 0.719 0.875
0.750 0.781 0.375
0.781 0.250 0.625
0.000 0.000 0.500
0.000 0.500 0.750
0.500 0.000 0.250
0.500 0.500 0.000
```

***

Computed, not measured: a geometry-optimized Rb2RuO4 structure at the PBE level of DFT.

magnetic moment: 0.286 μB per atom
energy relative to the lowest polymorph listed for this composition: 36 meV/atom
energy relative to the elements, uncorrected: -1.280 eV per atom

Structure (POSCAR):
```
Rb2RuO4
1.0
0.000 4.742 4.638
4.690 0.000 4.638
4.690 4.742 0.000
Rb Ru O
2 1 4
direct
0.000 0.000 0.500
0.500 0.500 0.000
0.251 0.251 0.749
0.203 0.519 0.797
0.298 0.985 0.015
0.519 0.203 0.481
0.985 0.298 0.702
```

***

Computed, not measured: a geometry-optimized Tl2Zn2O3 structure at the PBE level of DFT.

magnetic moment: 0.000 μB per atom
energy relative to the elements, uncorrected: -0.939 eV per atom
density of states at the Fermi level: 0.000 states/eV per atom

Structure (POSCAR):
```
Tl2Zn2O3
1.0
3.622 0.000 0.000
-1.809 6.066 0.000
-0.013 -3.026 5.770
Tl Zn O
2 2 3
direct
0.090 0.176 0.344
0.910 0.824 0.656
0.326 0.653 0.963
0.674 0.347 0.037
0.246 0.490 0.176
0.500 0.000 0.000
0.754 0.510 0.824
```

***

Computed, not measured: a geometry-optimized Li2AgPtO4 structure at the PBE level of DFT.

magnetic moment: 0.000 μB per atom
energy relative to the elements, uncorrected: -0.765 eV per atom
density of states at the Fermi level: 0.694 states/eV per atom

Structure (POSCAR):
```
Li2AgPtO4
1.0
5.464 0.000 0.000
0.000 5.464 0.000
0.000 0.000 6.551
Li Ag Pt O
4 2 2 8
direct
0.000 0.500 0.250
0.000 0.500 0.750
0.500 0.000 0.250
0.500 0.000 0.750
0.000 0.000 0.000
0.500 0.500 0.500
0.000 0.000 0.500
0.500 0.500 0.000
0.238 0.238 0.596
0.238 0.762 0.404
0.262 0.262 0.096
0.262 0.738 0.904
0.738 0.262 0.904
0.738 0.738 0.096
0.762 0.238 0.404
0.762 0.762 0.596
```

***

Computed, not measured: a geometry-optimized YCd2Re structure at the PBE level of DFT.

magnetic moment: 0.000 μB per atom
energy relative to the lowest polymorph listed for this composition: 55 meV/atom
ΔE_f: 0.296 eV/atom
density of states at the Fermi level: 0.570 states/eV per atom

Structure (POSCAR):
```
YCd2Re
1.0
2.963 0.000 0.000
0.000 4.573 0.000
0.000 0.000 5.979
Y Cd Re
1 2 1
direct
0.000 0.000 0.000
0.500 0.500 0.270
0.500 0.500 0.730
0.000 0.000 0.500
```

***

Computed, not measured: a geometry-optimized CeSm2Ho3P6 structure at the PBE level of DFT.

magnetic moment: 0.025 μB per atom
ΔE_f: -1.587 eV/atom
density of states at the Fermi level: 0.428 states/eV per atom

Structure (POSCAR):
```
CeSm2Ho3P6
1.0
3.501 -6.062 0.000
3.501 6.062 0.000
-2.333 0.000 6.592
Ce Sm Ho P
1 2 3 6
direct
0.000 0.000 0.000
0.334 0.666 0.000
0.666 0.334 0.000
0.167 0.833 0.500
0.500 0.500 0.500
0.833 0.167 0.500
0.085 0.415 0.256
0.244 0.244 0.745
0.415 0.085 0.256
0.585 0.915 0.744
0.756 0.756 0.255
0.915 0.585 0.744
```

***

Computed, not measured: a geometry-optimized La12MgCu5 structure at the PBE level of DFT.

magnetic moment: 0.000 μB per atom
ΔE_f: -0.077 eV/atom
density of states at the Fermi level: 1.402 states/eV per atom

Structure (POSCAR):
```
La12MgCu5
1.0
-4.947 5.082 5.380
4.947 -5.082 5.380
4.947 5.082 -5.380
La Mg Cu
12 1 5
direct
0.044 0.232 0.812
0.175 0.276 0.451
0.175 0.724 0.899
0.322 0.017 0.695
0.322 0.628 0.305
0.420 0.232 0.188
0.580 0.768 0.812
0.678 0.372 0.695
0.678 0.983 0.305
0.825 0.276 0.101
0.825 0.724 0.549
0.956 0.768 0.188
0.500 0.500 0.000
0.000 0.000 0.000
0.118 0.618 0.500
0.359 0.000 0.359
0.641 0.000 0.641
0.882 0.382 0.500
```

***

Computed, not measured: a geometry-optimized In2ReAu structure at the PBE level of DFT.

magnetic moment: 0.000 μB per atom
energy relative to the lowest polymorph listed for this composition: 0 meV/atom
ΔE_f: 0.349 eV/atom
density of states at the Fermi level: 0.501 states/eV per atom

Structure (POSCAR):
```
In2ReAu
1.0
10.826 0.000 0.000
0.000 2.865 0.000
-0.952 0.000 4.969
In Re Au
4 2 2
direct
0.000 0.000 0.000
0.202 0.000 0.629
0.500 0.500 0.000
0.702 0.500 0.629
0.245 0.500 0.138
0.745 0.000 0.138
0.444 0.000 0.477
0.944 0.500 0.477
```

***

Computed, not measured: a geometry-optimized KHgW2 structure at the PBE level of DFT.

magnetic moment: 0.000 μB per atom
ΔE_f: 0.938 eV/atom
density of states at the Fermi level: 0.911 states/eV per atom

Structure (POSCAR):
```
KHgW2
1.0
2.774 0.000 0.000
0.000 2.774 0.000
0.000 0.000 10.715
K Hg W
1 1 2
direct
0.000 0.000 0.000
0.500 0.500 0.725
0.000 0.000 0.498
0.500 0.500 0.291
```

***

Computed, not measured: a geometry-optimized GeCNO2 structure at the PBE level of DFT.

magnetic moment: 0.000 μB per atom
energy relative to the elements, uncorrected: 0.790 eV per atom
density of states at the Fermi level: 1.010 states/eV per atom

Structure (POSCAR):
```
GeCNO2
1.0
4.494 0.000 0.000
0.000 4.494 0.000
0.000 0.000 2.478
Ge C N O
1 1 1 2
direct
0.000 0.000 0.000
0.500 0.500 0.500
0.500 0.500 0.000
0.000 0.500 0.500
0.500 0.000 0.500
```

***

Computed, not measured: a geometry-optimized TbSm2Cu structure at the PBE level of DFT.

magnetic moment: 0.000 μB per atom
energy relative to the lowest polymorph listed for this composition: 34 meV/atom
ΔE_f: -0.043 eV/atom
density of states at the Fermi level: 1.142 states/eV per atom

Structure (POSCAR):
```
TbSm2Cu
1.0
4.961 0.000 0.000
0.000 11.690 0.000
0.000 0.000 7.674
Tb Sm Cu
4 8 4
direct
0.000 0.044 0.250
0.000 0.956 0.750
0.500 0.456 0.750
0.500 0.544 0.250
0.000 0.354 0.030
0.000 0.354 0.470
0.000 0.646 0.530
0.000 0.646 0.970
0.500 0.146 0.530
0.500 0.146 0.970
0.500 0.854 0.030
0.500 0.854 0.470
0.000 0.200 0.750
0.000 0.800 0.250
0.500 0.300 0.250
0.500 0.700 0.750
```

***

Computed, not measured: a geometry-optimized GdEr2V structure at the PBE level of DFT.

magnetic moment: 1.242 μB per atom
energy relative to the lowest polymorph listed for this composition: 0 meV/atom
ΔE_f: 0.199 eV/atom
density of states at the Fermi level: 1.339 states/eV per atom

Structure (POSCAR):
```
GdEr2V
1.0
3.588 0.000 0.000
0.000 3.588 0.000
0.000 0.000 8.481
Gd Er V
1 2 1
direct
0.000 0.000 0.000
0.500 0.500 0.300
0.500 0.500 0.700
0.000 0.000 0.500
```

***

Computed, not measured: a geometry-optimized TbPm4Pu3S8 structure at the PBE level of DFT.

magnetic moment: 1.053 μB per atom
energy relative to the elements, uncorrected: -1.951 eV per atom
density of states at the Fermi level: 1.546 states/eV per atom

Structure (POSCAR):
```
TbPm4Pu3S8
1.0
3.980 2.298 6.544
-3.980 2.298 6.544
0.000 -4.596 6.544
Tb Pm Pu S
1 4 3 8
direct
0.000 0.000 0.000
0.000 0.000 0.500
0.000 0.500 0.000
0.500 0.000 0.000
0.500 0.500 0.500
0.000 0.500 0.500
0.500 0.000 0.500
0.500 0.500 0.000
0.247 0.247 0.748
0.247 0.748 0.247
0.252 0.753 0.753
0.253 0.253 0.253
0.747 0.747 0.747
0.748 0.247 0.247
0.753 0.252 0.753
0.753 0.753 0.252
```

***

Computed, not measured: a geometry-optimized Tc2H2Ru structure at the PBE level of DFT.

magnetic moment: 0.000 μB per atom
energy relative to the lowest polymorph listed for this composition: 646 meV/atom
density of states at the Fermi level: 0.874 states/eV per atom

Structure (POSCAR):
```
Tc2H2Ru
1.0
6.510 0.000 0.000
0.000 6.510 0.000
0.000 0.000 2.584
Tc H Ru
4 4 2
direct
0.138 0.362 0.000
0.362 0.862 0.000
0.638 0.138 0.000
0.862 0.638 0.000
0.101 0.601 0.500
0.399 0.101 0.500
0.601 0.899 0.500
0.899 0.399 0.500
0.000 0.000 0.000
0.500 0.500 0.000
```

***

Computed, not measured: a geometry-optimized ScCoBr2 structure at the PBE level of DFT.

magnetic moment: 0.304 μB per atom
energy relative to the lowest polymorph listed for this composition: 549 meV/atom
energy relative to the elements, uncorrected: -0.112 eV per atom
density of states at the Fermi level: 0.750 states/eV per atom

Structure (POSCAR):
```
ScCoBr2
1.0
4.571 0.000 0.000
0.000 4.571 0.000
0.000 0.000 3.487
Sc Co Br
1 1 2
direct
0.000 0.000 0.000
0.500 0.500 0.000
0.000 0.500 0.500
0.500 0.000 0.500
```

***

Computed, not measured: a geometry-optimized CaY2Ni structure at the PBE level of DFT.

magnetic moment: 0.000 μB per atom
energy relative to the lowest polymorph listed for this composition: 195 meV/atom
ΔE_f: 0.058 eV/atom
density of states at the Fermi level: 1.408 states/eV per atom

Structure (POSCAR):
```
CaY2Ni
1.0
8.479 0.000 0.000
0.000 8.479 0.000
0.000 0.000 6.436
Ca Y Ni
4 8 4
direct
0.000 0.000 0.000
0.000 0.500 0.250
0.500 0.000 0.750
0.500 0.500 0.500
0.166 0.250 0.625
0.250 0.666 0.875
0.250 0.834 0.375
0.334 0.250 0.125
0.666 0.750 0.125
0.750 0.166 0.375
0.750 0.334 0.875
0.834 0.750 0.625
0.000 0.000 0.500
0.000 0.500 0.750
0.500 0.000 0.250
0.500 0.500 0.000
```

***

Computed, not measured: a geometry-optimized Sr3Li7Pd4 structure at the PBE level of DFT.

magnetic moment: 0.000 μB per atom
ΔE_f: -0.358 eV/atom
density of states at the Fermi level: 0.301 states/eV per atom

Structure (POSCAR):
```
Sr3Li7Pd4
1.0
8.290 -2.195 0.000
8.290 2.195 0.000
-6.185 0.000 8.258
Sr Li Pd
3 7 4
direct
0.000 0.000 0.000
0.304 0.304 0.291
0.696 0.696 0.709
0.000 0.000 0.500
0.164 0.164 0.421
0.318 0.318 0.988
0.490 0.490 0.717
0.510 0.510 0.283
0.682 0.682 0.012
0.836 0.836 0.579
0.109 0.109 0.821
0.338 0.338 0.734
0.662 0.662 0.266
0.891 0.891 0.179
```

***

Computed, not measured: a geometry-optimized NiSnBi structure at the PBE level of DFT.

magnetic moment: 0.000 μB per atom
ΔE_f: -0.078 eV/atom
density of states at the Fermi level: 0.376 states/eV per atom

Structure (POSCAR):
```
NiSnBi
1.0
7.527 0.000 0.000
0.000 4.337 0.000
-2.468 0.000 8.676
Ni Sn Bi
4 4 4
direct
0.232 0.000 0.199
0.268 0.500 0.801
0.732 0.500 0.199
0.768 0.000 0.801
0.130 0.000 0.888
0.370 0.500 0.112
0.630 0.500 0.888
0.870 0.000 0.112
0.114 0.500 0.346
0.386 0.000 0.654
0.614 0.000 0.346
0.886 0.500 0.654
```

***

Computed, not measured: a geometry-optimized TiSn2Mo structure at the PBE level of DFT.

magnetic moment: 0.000 μB per atom
energy relative to the lowest polymorph listed for this composition: 368 meV/atom
ΔE_f: 0.460 eV/atom
density of states at the Fermi level: 1.162 states/eV per atom

Structure (POSCAR):
```
TiSn2Mo
1.0
3.035 0.000 0.000
-1.517 2.628 0.000
0.000 0.000 31.161
Ti Sn Mo
3 6 3
direct
0.000 0.000 0.000
0.333 0.667 0.667
0.667 0.333 0.333
0.000 0.000 0.410
0.000 0.000 0.590
0.333 0.667 0.076
0.333 0.667 0.257
0.667 0.333 0.743
0.667 0.333 0.924
0.000 0.000 0.500
0.333 0.667 0.167
0.667 0.333 0.833
```

***

Computed, not measured: a geometry-optimized Tm6Cd3In structure at the PBE level of DFT.

magnetic moment: 0.000 μB per atom
ΔE_f: -0.244 eV/atom
density of states at the Fermi level: 0.811 states/eV per atom

Structure (POSCAR):
```
Tm6Cd3In
1.0
9.295 0.000 0.000
0.000 5.193 0.000
-3.182 0.000 10.961
Tm Cd In
12 6 2
direct
0.040 0.250 0.408
0.151 0.750 0.180
0.252 0.250 0.001
0.336 0.750 0.808
0.369 0.250 0.325
0.394 0.250 0.614
0.606 0.750 0.386
0.631 0.750 0.675
0.664 0.250 0.192
0.748 0.750 0.999
0.849 0.250 0.820
0.960 0.750 0.592
0.030 0.750 0.882
0.121 0.250 0.715
0.275 0.750 0.472
0.725 0.250 0.528
0.879 0.750 0.285
0.970 0.250 0.118
0.451 0.750 0.110
0.549 0.250 0.890
```

***

Computed, not measured: a geometry-optimized Ga3CuPd3 structure at the PBE level of DFT.

magnetic moment: 0.000 μB per atom
ΔE_f: -0.370 eV/atom
density of states at the Fermi level: 0.272 states/eV per atom

Structure (POSCAR):
```
Ga3CuPd3
1.0
3.853 -5.756 0.000
3.853 5.756 0.000
-1.812 0.000 5.264
Ga Cu Pd
6 2 6
direct
0.032 0.653 0.760
0.305 0.305 0.640
0.347 0.968 0.240
0.653 0.032 0.760
0.695 0.695 0.360
0.968 0.347 0.240
0.307 0.307 0.182
0.693 0.693 0.818
0.015 0.015 0.754
0.326 0.674 0.500
0.363 0.637 0.000
0.637 0.363 0.000
0.674 0.326 0.500
0.985 0.985 0.246
```

***

Computed, not measured: a geometry-optimized Th3ScTe6 structure at the PBE level of DFT.

magnetic moment: 0.000 μB per atom
energy relative to the elements, uncorrected: -1.106 eV per atom
density of states at the Fermi level: 0.508 states/eV per atom

Structure (POSCAR):
```
Th3ScTe6
1.0
6.131 -7.410 0.000
6.131 7.410 0.000
0.000 0.000 7.425
Th Sc Te
6 2 12
direct
0.107 0.893 0.500
0.229 0.433 0.620
0.433 0.229 0.120
0.567 0.771 0.620
0.771 0.567 0.120
0.893 0.107 0.000
0.349 0.651 0.133
0.651 0.349 0.633
0.077 0.591 0.311
0.129 0.196 0.312
0.196 0.129 0.812
0.258 0.742 0.793
0.409 0.923 0.311
0.500 0.500 0.373
0.500 0.500 0.873
0.591 0.077 0.811
0.742 0.258 0.293
0.804 0.871 0.312
0.871 0.804 0.812
0.923 0.409 0.811
```

***

Computed, not measured: a geometry-optimized AlReP2Cl structure at the PBE level of DFT.

magnetic moment: 0.000 μB per atom
energy relative to the lowest polymorph listed for this composition: 1296 meV/atom
energy relative to the elements, uncorrected: 1.708 eV per atom
density of states at the Fermi level: 0.925 states/eV per atom

Structure (POSCAR):
```
AlReP2Cl
1.0
4.584 0.000 0.000
0.000 4.584 0.000
0.000 0.000 4.389
Al Re P Cl
1 1 2 1
direct
0.000 0.000 0.000
0.500 0.500 0.000
0.000 0.500 0.500
0.500 0.000 0.500
0.500 0.500 0.500
```

***

Number 1: theoretical density 6.5 g/cm³. Number 2: theoretical density 2.7 g/cm³. Number 3: theoretical density 7.7 g/cm³. Number 4: theoretical density 6.5 g/cm³. Number 5: theoretical density 10.2 g/cm³. Number 6: theoretical density 6.7 g/cm³. Number 7: theoretical density 6.2 g/cm³. Number 8: theoretical density 13.2 g/cm³. Number 9: theoretical density 12.2 g/cm³. Number 10: theoretical density 4.3 g/cm³. Number 11: theoretical density 7.8 g/cm³. Number 12: theoretical density 8.3 g/cm³. Number 13: theoretical density 8.0 g/cm³. Number 14: theoretical density 9.1 g/cm³. Number 15: theoretical density 6.0 g/cm³. Number 16: theoretical density 4.0 g/cm³. Number 17: theoretical density 4.1 g/cm³. Number 18: theoretical density 9.1 g/cm³. Number 19: theoretical density 7.6 g/cm³. Number 20: theoretical density 9.2 g/cm³. Number 21: theoretical density 8.4 g/cm³. Number 22: theoretical density 7.4 g/cm³. Number 23: theoretical density 5.6 g/cm³.